# 1
An optimized crystal structure of Li2ErIrO6, computed with PBE.

abc: 5.324 5.467 7.779
angles: 90.00 90.41 90.00
Site moments in Bohr magnetons follow the coordinates.
Fractional coordinates of all 20 atoms:
Ir: 0.000 0.500 0.000  0.44
Ir: 0.500 0.000 0.500  0.44
O: 0.881 0.566 0.230  0.04
O: 0.688 0.349 0.941  0.06
O: 0.312 0.651 0.059  0.06
O: 0.861 0.808 0.929  0.05
O: 0.381 0.934 0.730  0.04
O: 0.139 0.192 0.071  0.05
O: 0.619 0.066 0.270  0.04
O: 0.361 0.692 0.429  0.05
O: 0.812 0.849 0.559  0.06
O: 0.639 0.308 0.571  0.05
O: 0.119 0.434 0.770  0.04
O: 0.188 0.151 0.441  0.06
Li: 0.485 0.525 0.756  0.00
Li: 0.015 0.025 0.744  0.00
Li: 0.515 0.475 0.244  0.00
Li: 0.985 0.975 0.256  0.00
Er: 0.000 0.500 0.500  0.03
Er: 0.500 0.000 0.000  0.03

Values from the calculation:
**Formation energy from raw total energies**: -1.72 eV/atom

***

# 2
An optimized crystal structure of Ba2ScW, computed with PBE.

abc: 12.289 12.289 12.289
angles: 15.89 15.89 15.89
Site moments in Bohr magnetons follow the coordinates.
Fractional coordinates of all 4 atoms:
Ba: 0.009 0.009 0.009  0.01
Ba: 0.491 0.491 0.491  0.01
W: 0.750 0.750 0.750  0.02
Sc: 0.250 0.250 0.250  0.10

Values from the calculation:
**E_form**: 1.261 eV/atom
**Polymorph energy (0 for the lowest one)**: 55.3 kJ per mole of atoms

***

# 3
An optimized crystal structure of Dy2Al2Fe2C, computed with PBE.

abc: 4.009 5.856 5.802
angles: 74.40 69.79 69.98
Fractional coordinates of all 7 atoms:
Fe: 0.808 0.295 0.090
Fe: 0.192 0.705 0.910
Dy: 0.446 0.827 0.281
Dy: 0.554 0.173 0.719
Al: 0.164 0.393 0.279
Al: 0.836 0.607 0.721
C: 0.000 0.000 0.000

Values from the calculation:
**E_form**: -0.367 eV/atom

***

# 4
An optimized crystal structure of Mg7Co, computed with PBE.

abc: 6.121 6.121 6.121
angles: 60.00 60.00 60.00
Site moments in Bohr magnetons follow the coordinates.
Fractional coordinates of all 8 atoms:
Mg: 0.000 0.500 0.500  0.00
Mg: 0.500 0.500 0.500  0.01
Mg: 0.000 0.000 0.500  0.00
Mg: 0.500 0.500 0.000  0.00
Mg: 0.500 0.000 0.500  0.00
Mg: 0.000 0.500 0.000  0.00
Mg: 0.500 0.000 0.000  0.00
Co: 0.000 0.000 0.000  1.39

Values from the calculation:
**E_form**: 0.133 eV/atom
**Polymorph energy (0 for the lowest one)**: 2.3 kJ per mole of atoms

***

# 5
An optimized crystal structure of HoLuScRu, computed with PBE.

abc: 4.994 4.994 4.994
angles: 60.00 60.00 60.00
Fractional coordinates of all 4 atoms:
Lu: 0.000 0.000 0.000
Sc: 0.750 0.750 0.750
Ru: 0.250 0.250 0.250
Ho: 0.500 0.500 0.500

Values from the calculation:
**E_form**: -0.082 eV/atom

***

# 6
An optimized crystal structure of CrInRh2, computed with PBE.

abc: 2.921 3.862 5.584
angles: 90.00 90.00 90.00
Site moments in Bohr magnetons follow the coordinates.
Fractional coordinates of all 4 atoms:
Rh: 0.000 0.000 0.996  0.06
Rh: 0.500 0.500 0.278  -0.10
In: 0.500 0.500 0.766  -0.03
Cr: 0.000 0.000 0.460  2.77

Values from the calculation:
**E_form**: -0.034 eV/atom

***

# 7
An optimized crystal structure of Ca2NpUSb4, computed with PBE.

abc: 4.456 7.722 7.743
angles: 109.39 90.00 90.00
Site moments in Bohr magnetons follow the coordinates.
Fractional coordinates of all 8 atoms:
Np: 0.500 0.500 0.000  3.66
Ca: 0.500 0.000 0.500  -0.03
Ca: 0.000 0.500 0.500  -0.03
Sb: 0.500 0.242 0.234  -0.08
Sb: 0.500 0.758 0.766  -0.08
Sb: 0.000 0.252 0.766  -0.10
Sb: 0.000 0.748 0.234  -0.10
U: 0.000 0.000 0.000  1.93

Values from the calculation:
**Formation energy from raw total energies**: -0.55 eV/atom

***

# 8
An optimized crystal structure of K4MnTe, computed with PBE.

abc: 7.207 7.207 7.207
angles: 60.00 60.00 60.00
Site moments in Bohr magnetons follow the coordinates.
Fractional coordinates of all 6 atoms:
Te: 0.000 0.000 0.000  0.03
K: 0.374 0.374 0.879  0.00
K: 0.374 0.374 0.374  0.00
K: 0.374 0.879 0.374  0.00
K: 0.879 0.374 0.374  0.00
Mn: 0.750 0.750 0.750  4.39

Values from the calculation:
**Formation energy from raw total energies**: 0.38 eV/atom